Entry 1:
Dy2HoIn3Ni2Au after structural relaxation, computed with GGA-PBE.

The structure in CIF format:
```
data_Dy2HoIn3Ni2Au
_chemical_formula_sum 'Dy4 Ho2 In6 Ni4 Au2'
_cell_length_a 3.904
_cell_length_b 13.037
_cell_length_c 7.528
_cell_angle_alpha 90.00
_cell_angle_beta 90.00
_cell_angle_gamma 90.00
_space_group_name_H-M_alt 'A m m 2'
_space_group_IT_number 38
loop_
_space_group_symop_operation_xyz
'x,y,z'
'-x,-y,z'
'-x,y,z'
'x,-y,z'
'x,y+1/2,z+1/2'
'-x,-y+1/2,z+1/2'
'-x,y+1/2,z+1/2'
'x,-y+1/2,z+1/2'
loop_
_atom_site_label
_atom_site_fract_x
_atom_site_fract_y
_atom_site_fract_z
Dy1 0.000 0.204 0.000
Ho1 0.000 0.000 0.389
In1 0.500 0.000 0.070
In2 0.500 0.137 0.659
Ni1 0.500 0.166 0.296
Au1 0.000 0.000 0.796
```

=====

Entry 2:
Dy2HoZn3NiAu2 after structural relaxation, computed with GGA-PBE.

The structure in CIF format:
```
data_Dy2HoZn3NiAu2
_chemical_formula_sum 'Dy4 Ho2 Zn6 Ni2 Au4'
_cell_length_a 3.923
_cell_length_b 12.553
_cell_length_c 7.262
_cell_angle_alpha 90.00
_cell_angle_beta 90.00
_cell_angle_gamma 90.00
_space_group_name_H-M_alt 'A m m 2'
_space_group_IT_number 38
loop_
_space_group_symop_operation_xyz
'x,y,z'
'-x,-y,z'
'-x,y,z'
'x,-y,z'
'x,y+1/2,z+1/2'
'-x,-y+1/2,z+1/2'
'-x,y+1/2,z+1/2'
'x,-y+1/2,z+1/2'
loop_
_atom_site_label
_atom_site_fract_x
_atom_site_fract_y
_atom_site_fract_z
Dy1 0.000 0.198 0.000
Ho1 0.000 0.000 0.592
Zn1 0.500 0.000 0.968
Zn2 0.500 0.115 0.313
Ni1 0.000 0.000 0.199
Au1 0.500 0.165 0.697
```

=====

Entry 3:
DyHo2Zn3NiAu2 after structural relaxation, computed with GGA-PBE.

The structure in CIF format:
```
data_DyHo2Zn3NiAu2
_chemical_formula_sum 'Dy2 Ho4 Zn6 Ni2 Au4'
_cell_length_a 3.920
_cell_length_b 12.577
_cell_length_c 7.235
_cell_angle_alpha 90.00
_cell_angle_beta 90.00
_cell_angle_gamma 90.00
_space_group_name_H-M_alt 'A m m 2'
_space_group_IT_number 38
loop_
_space_group_symop_operation_xyz
'x,y,z'
'-x,-y,z'
'-x,y,z'
'x,-y,z'
'x,y+1/2,z+1/2'
'-x,-y+1/2,z+1/2'
'-x,y+1/2,z+1/2'
'x,-y+1/2,z+1/2'
loop_
_atom_site_label
_atom_site_fract_x
_atom_site_fract_y
_atom_site_fract_z
Dy1 0.000 0.000 0.000
Ho1 0.000 0.197 0.593
Zn1 0.500 0.000 0.626
Zn2 0.500 0.115 0.282
Ni1 0.000 0.000 0.398
Au1 0.500 0.168 0.895
```

=====

Entry 4:
DyHoAu2O4 after structural relaxation, computed with GGA-PBE.

The structure in CIF format:
```
data_DyHoAu2O4
_chemical_formula_sum 'Dy1 Ho1 Au2 O4'
_cell_length_a 3.5312
_cell_length_b 3.5312
_cell_length_c 12.1448
_cell_angle_alpha 90.00
_cell_angle_beta 90.00
_cell_angle_gamma 120.00
_space_group_name_H-M_alt 'P -3 m 1'
_space_group_IT_number 164
_space_group_name_Hall '-P 3 2"'
loop_
_atom_site_label
_atom_site_fract_x
_atom_site_fract_y
_atom_site_fract_z
Dy1 0.0000 0.0000 0.0000
Ho1 0.0000 0.0000 0.5000
Au1 0.3333 0.6667 0.7494
O1 0.3333 0.6667 0.5815
O2 0.3333 0.6667 0.9173
```

=====

no.,uncorrected energy (eV/atom)
1,-4.60
2,-3.92
3,-3.91
4,-6.69